# 1
A relaxed structure of MgPt3F, computed with PBE.

Its polymorph energy (0 for the lowest one) is 700 meV/atom. Its formation energy (no corrections) is 1024 meV/atom. The calculated volume comes out at 20.6 Å³/atom. For the total magnetization, the calculation gives 1.012 μB/f.u.

The space group is Pm-3m (No. 221) and the conventional cell measures 4.689, 4.689 and 4.689 Å, with angles of 90.00, 90.00 and 90.00 degrees. Symmetry generates all atoms from Mg at (0.000, 0.000, 0.000), Pt at (0.000, 0.000, 0.500) and F at (0.500, 0.500, 0.500).

# 2
A relaxed structure of MgPt3F, computed with PBE.

Its polymorph energy (0 for the lowest one) is 0 meV/atom. Its formation energy (no corrections) is 324 meV/atom. The calculated volume comes out at 17.1 Å³/atom. For the total magnetization, the calculation gives 0.000 μB/f.u.

The space group is Pm-3m (No. 221) and the conventional cell measures 4.404, 4.404 and 4.404 Å, with angles of 90.00, 90.00 and 90.00 degrees. Symmetry generates all atoms from Mg at (0.000, 0.000, 0.000), Pt at (0.000, 0.500, 0.500) and F at (0.500, 0.500, 0.500).

# 3
A relaxed structure of MgPtF, computed with PBE.

Its formation energy (no corrections) is -1679 meV/atom. The calculated volume comes out at 16.5 Å³/atom. For the total magnetization, the calculation gives 0.000 μB/f.u.

The space group is Amm2 (No. 38) and the conventional cell measures 13.804, 2.874 and 4.977 Å, with angles of 90.00, 90.00 and 90.00 degrees. Symmetry generates all atoms from Mg at (0.000, 0.000, 0.000), Mg at (0.500, 0.000, 0.218), Pt at (0.350, 0.000, 0.884) and F at (0.083, 0.000, 0.333).

# 4
A relaxed structure of Mg3PtF, computed with PBE.

Its polymorph energy (0 for the lowest one) is 528 meV/atom. Its formation energy (no corrections) is -665 meV/atom. The calculated volume comes out at 25.0 Å³/atom. For the total magnetization, the calculation gives 0.000 μB/f.u.

The space group is Pm-3m (No. 221) and the conventional cell measures 5.001, 5.001 and 5.001 Å, with angles of 90.00, 90.00 and 90.00 degrees. Symmetry generates all atoms from Mg at (0.000, 0.000, 0.500), Pt at (0.000, 0.000, 0.000) and F at (0.500, 0.500, 0.500).

# 5
A relaxed structure of MgPt2F, computed with PBE.

Its polymorph energy (0 for the lowest one) is 435 meV/atom. Its formation energy (no corrections) is -320 meV/atom. The calculated volume comes out at 14.6 Å³/atom. For the total magnetization, the calculation gives 0.000 μB/f.u.

The space group is Fm-3m (No. 225) and the conventional cell measures 6.164, 6.164 and 6.164 Å, with angles of 90.00, 90.00 and 90.00 degrees. Symmetry generates all atoms from Mg at (0.000, 0.000, 0.000), Pt at (0.250, 0.250, 0.250) and F at (0.000, 0.000, 0.500).

# 6
A relaxed structure of MgPtF2, computed with PBE.

Its polymorph energy (0 for the lowest one) is 1192 meV/atom. Its formation energy (no corrections) is -969 meV/atom. The calculated volume comes out at 13.2 Å³/atom. For the total magnetization, the calculation gives 0.358 μB/f.u.

The space group is Fm-3m (No. 225) and the conventional cell measures 5.963, 5.963 and 5.963 Å, with angles of 90.00, 90.00 and 90.00 degrees. Symmetry generates all atoms from Mg at (0.000, 0.000, 0.000), Pt at (0.000, 0.000, 0.500) and F at (0.250, 0.250, 0.250).

Look up the calculated volume of the first one.
20.6 Å³/atom